VASP calculation (PBE-GGA) on crystalline CsInTe2Au at its relaxed geometry.

## Properties
Total moment   0.0000 μB per atom
Volume   791.6 Å³ per cell
Fermi-level density of states   2.09 states/eV/f.u.
E_form (uncorrected)   -0.480 eV/atom

The structure in CIF format:
```
data_CsInTe2Au
_cell_length_a 7.420
_cell_length_b 15.060
_cell_length_c 7.084
_cell_angle_alpha 90.00
_cell_angle_beta 90.00
_cell_angle_gamma 90.00
_space_group_name_H-M_alt 'C m m e'
_space_group_IT_number 67
_space_group_name_Hall '-C 2a 2'
loop_
_atom_site_label
_atom_site_fract_x
_atom_site_fract_y
_atom_site_fract_z
_atom_site_occupancy
Cs1 0.000 0.250 0.231 1
In1 0.250 0.000 0.500 1
Te1 0.000 0.121 0.735 1
Au1 0.000 0.000 0.000 1
```